[1]
The following is a PBE calculation of a geometry-optimized InNiSn structure, from Alexandria.

It has space group P3m1 (No. 156), with a = 4.2212 Å, b = 4.2212 Å, c = 4.1998 Å, α = 90.00°, β = 90.00° and γ = 120.00°. The distinct sites, in fractional coordinates, are In at (0.0000, 0.0000, 0.0000), Ni at (0.3333, 0.6667, 0.7100) and Sn at (0.6667, 0.3333, 0.4989).

The calculation puts the total energy at -0.2994 Ry/atom.

[2]
The following is a PBE calculation of a geometry-optimized Cs2NdCu2S4 structure, from Alexandria.

It has space group C2/m (No. 12), with a = 15.193 Å, b = 4.065 Å, c = 8.161 Å, α = 90.00°, β = 108.46° and γ = 90.00°. The distinct sites, in fractional coordinates, are Cs at (0.137, 0.000, 0.060), Nd at (0.000, 0.000, 0.500), Cu at (0.176, 0.500, 0.482), S at (0.025, 0.500, 0.277) and S at (0.200, 0.000, 0.639).

Its raw formation energy is -1.10 eV per atom. The calculation puts the total energy at -0.3354 Ry/atom.

What did the second record say?
The following is a PBE calculation of a geometry-optimized Cs2NdCu2S4 structure, from Alexandria.

It has space group C2/m (No. 12), with a = 15.193 Å, b = 4.065 Å, c = 8.161 Å, α = 90.00°, β = 108.46° and γ = 90.00°. The distinct sites, in fractional coordinates, are Cs at (0.137, 0.000, 0.060), Nd at (0.000, 0.000, 0.500), Cu at (0.176, 0.500, 0.482), S at (0.025, 0.500, 0.277) and S at (0.200, 0.000, 0.639).

Its raw formation energy is -1.10 eV per atom. The calculation puts the total energy at -0.3354 Ry/atom.